This record from OQMD via LeMat-Bulk describes crystalline SmZnSi at its relaxed geometry. The functional is PBE.

Uncorrected energy (eV/atom): -4.099
SG: F-43m

Cell lengths 4.563, 4.563, 4.563 Å; angles 60.00, 60.00, 60.00 degrees
Sites, in units of the cell vectors:
Si 0.000 0.000 0.000
Sm 0.250 0.250 0.250
Zn 0.750 0.750 0.750